1.
Here is Sm2YZrAs4 after structural relaxation from the Alexandria database. Energies are from PBE-GGA.

CIF file:
```
data_Sm2YZrAs4
_chemical_formula_sum 'Sm2 Y1 Zr1 As4'
_space_group_name_H-M_alt 'P 1 2/m 1'
_space_group_IT_number 10
_cell_length_a 7.089
_cell_length_b 4.092
_cell_length_c 7.096
_cell_angle_alpha 90.00
_cell_angle_beta 109.30
_cell_angle_gamma 90.00
loop_
_space_group_symop_operation_xyz
'x,y,z'
'-x,-y,-z'
'-x,y,-z'
'x,-y,z'
loop_
_atom_site_label
_atom_site_type_symbol
_atom_site_fract_x
_atom_site_fract_y
_atom_site_fract_z
Sm1 Sm 0.000 0.000 0.000
Sm2 Sm 0.500 0.500 0.000
Y1 Y 0.000 0.500 0.500
Zr1 Zr 0.500 0.000 0.500
As1 As 0.254 0.000 0.739
As2 As 0.262 0.500 0.266
```

Crystal system: monoclinic
ΔE_f: -1.43 eV/atom

2.
Here is NaCaSiHg after structural relaxation from the Alexandria database. Energies are from PBE-GGA.

CIF file:
```
data_NaCaSiHg
_chemical_formula_sum 'Na4 Ca4 Si4 Hg4'
_space_group_name_H-M_alt 'F -4 3 m'
_space_group_IT_number 216
_space_group_name_Hall 'F -4 2 3'
_cell_length_a 7.257
_cell_length_b 7.257
_cell_length_c 7.257
_cell_angle_alpha 90.00
_cell_angle_beta 90.00
_cell_angle_gamma 90.00
loop_
_atom_site_label
_atom_site_type_symbol
_atom_site_fract_x
_atom_site_fract_y
_atom_site_fract_z
Na1 Na 0.000 0.000 0.000
Ca1 Ca 0.000 0.000 0.500
Si1 Si 0.250 0.250 0.750
Hg1 Hg 0.250 0.250 0.250
```

Crystal system: cubic
DFT total energy: -38.81 eV per cell

3.
Here is Rb4Pu3AuS8 after structural relaxation from the Alexandria database. Energies are from PBE-GGA.

CIF file:
```
data_Rb4Pu3AuS8
_chemical_formula_sum 'Rb8 Pu6 Au2 S16'
_space_group_name_H-M_alt 'C 1 2/m 1'
_space_group_IT_number 12
_cell_length_a 13.629
_cell_length_b 8.499
_cell_length_c 7.828
_cell_angle_alpha 90.00
_cell_angle_beta 92.88
_cell_angle_gamma 90.00
loop_
_space_group_symop_operation_xyz
'x,y,z'
'-x,-y,-z'
'-x,y,-z'
'x,-y,z'
'x+1/2,y+1/2,z'
'-x+1/2,-y+1/2,-z'
'-x+1/2,y+1/2,-z'
'x+1/2,-y+1/2,z'
loop_
_atom_site_label
_atom_site_type_symbol
_atom_site_fract_x
_atom_site_fract_y
_atom_site_fract_z
Rb1 Rb 0.000 0.000 0.000
Rb2 Rb 0.000 0.500 0.000
Rb3 Rb 0.250 0.250 0.000
Pu1 Pu 0.000 0.000 0.500
Pu2 Pu 0.250 0.250 0.500
Au1 Au 0.000 0.500 0.500
S1 S 0.086 0.219 0.302
S2 S 0.157 0.500 0.669
S3 S 0.176 0.000 0.689
```

Crystal system: monoclinic
DFT total energy: -205.41 eV per cell

4.
Here is LiInBr2 after structural relaxation from the Alexandria database. Energies are from PBE-GGA.

CIF file:
```
data_LiInBr2
_chemical_formula_sum 'Li4 In4 Br8'
_space_group_name_H-M_alt 'F m -3 m'
_space_group_IT_number 225
_space_group_name_Hall '-F 4 2 3'
_cell_length_a 7.665
_cell_length_b 7.665
_cell_length_c 7.665
_cell_angle_alpha 90.00
_cell_angle_beta 90.00
_cell_angle_gamma 90.00
loop_
_atom_site_label
_atom_site_type_symbol
_atom_site_fract_x
_atom_site_fract_y
_atom_site_fract_z
Li1 Li 0.000 0.000 0.000
In1 In 0.000 0.000 0.500
Br1 Br 0.250 0.250 0.250
```

Crystal system: cubic
DFT total energy: -45.68 eV per cell

5.
Here is Li3Mg2Ag after structural relaxation from the Alexandria database. Energies are from PBE-GGA.

CIF file:
```
data_Li3Mg2Ag
_chemical_formula_sum 'Li12 Mg8 Ag4'
_space_group_name_H-M_alt 'C 1 2/m 1'
_space_group_IT_number 12
_cell_length_a 12.975
_cell_length_b 4.352
_cell_length_c 9.203
_cell_angle_alpha 90.00
_cell_angle_beta 118.22
_cell_angle_gamma 90.00
loop_
_space_group_symop_operation_xyz
'x,y,z'
'-x,-y,-z'
'-x,y,-z'
'x,-y,z'
'x+1/2,y+1/2,z'
'-x+1/2,-y+1/2,-z'
'-x+1/2,y+1/2,-z'
'x+1/2,-y+1/2,z'
loop_
_atom_site_label
_atom_site_type_symbol
_atom_site_fract_x
_atom_site_fract_y
_atom_site_fract_z
Li1 Li 0.047 0.000 0.377
Li2 Li 0.128 0.500 0.624
Li3 Li 0.208 0.500 0.371
Mg1 Mg 0.032 0.500 0.867
Mg2 Mg 0.210 0.000 0.867
Ag1 Ag 0.129 0.000 0.127
```

Crystal system: monoclinic
ΔE_f: -0.10 eV/atom

6.
Here is Pm4DyAl2 after structural relaxation from the Alexandria database. Energies are from PBE-GGA.

CIF file:
```
data_Pm4DyAl2
_chemical_formula_sum 'Pm8 Dy2 Al4'
_space_group_name_H-M_alt 'P 1 21/c 1'
_space_group_IT_number 14
_cell_length_a 6.687
_cell_length_b 8.840
_cell_length_c 7.709
_cell_angle_alpha 90.00
_cell_angle_beta 111.63
_cell_angle_gamma 90.00
loop_
_space_group_symop_operation_xyz
'x,y,z'
'-x,-y,-z'
'-x,y+1/2,-z+1/2'
'x,-y+1/2,z+1/2'
loop_
_atom_site_label
_atom_site_type_symbol
_atom_site_fract_x
_atom_site_fract_y
_atom_site_fract_z
Pm1 Pm 0.097 0.182 0.186
Pm2 Pm 0.395 0.666 0.834
Dy1 Dy 0.500 0.000 0.000
Al1 Al 0.191 0.534 0.106
```

Crystal system: monoclinic
ΔE_f: -0.07 eV/atom

7.
Here is Pm2ReC2 after structural relaxation from the Alexandria database. Energies are from PBE-GGA.

CIF file:
```
data_Pm2ReC2
_chemical_formula_sum 'Pm8 Re4 C8'
_space_group_name_H-M_alt 'P 1 21/c 1'
_space_group_IT_number 14
_cell_length_a 8.239
_cell_length_b 6.348
_cell_length_c 6.580
_cell_angle_alpha 90.00
_cell_angle_beta 100.36
_cell_angle_gamma 90.00
loop_
_space_group_symop_operation_xyz
'x,y,z'
'-x,-y,-z'
'-x,y+1/2,-z+1/2'
'x,-y+1/2,z+1/2'
loop_
_atom_site_label
_atom_site_type_symbol
_atom_site_fract_x
_atom_site_fract_y
_atom_site_fract_z
Pm1 Pm 0.064 0.236 0.018
Pm2 Pm 0.316 0.602 0.885
Re1 Re 0.384 0.082 0.845
C1 C 0.169 0.561 0.226
C2 C 0.429 0.185 0.144
```

Crystal system: monoclinic
ΔE_f: -0.08 eV/atom

8.
Here is CaTb2Ir after structural relaxation from the Alexandria database. Energies are from PBE-GGA.

CIF file:
```
data_CaTb2Ir
_chemical_formula_sum 'Ca3 Tb6 Ir3'
_space_group_name_H-M_alt 'R 3 m'
_space_group_IT_number 160
_space_group_name_Hall 'R 3 -2"'
_cell_length_a 4.1119
_cell_length_b 4.1119
_cell_length_c 27.1803
_cell_angle_alpha 90.00
_cell_angle_beta 90.00
_cell_angle_gamma 120.00
loop_
_atom_site_label
_atom_site_type_symbol
_atom_site_fract_x
_atom_site_fract_y
_atom_site_fract_z
Ca1 Ca 0.0000 0.0000 0.0000
Tb1 Tb 0.0000 0.0000 0.2211
Tb2 Tb 0.0000 0.0000 0.4499
Ir1 Ir 0.0000 0.0000 0.8356
```

Crystal system: trigonal
ΔE_f: -0.42 eV/atom

9.
Here is RbMgNb after structural relaxation from the Alexandria database. Energies are from PBE-GGA.

CIF file:
```
data_RbMgNb
_chemical_formula_sum 'Rb2 Mg2 Nb2'
_space_group_name_H-M_alt 'P 1 m 1'
_space_group_IT_number 6
_cell_length_a 3.603
_cell_length_b 4.262
_cell_length_c 14.056
_cell_angle_alpha 90.00
_cell_angle_beta 91.29
_cell_angle_gamma 90.00
loop_
_space_group_symop_operation_xyz
'x,y,z'
'x,-y,z'
loop_
_atom_site_label
_atom_site_type_symbol
_atom_site_fract_x
_atom_site_fract_y
_atom_site_fract_z
Rb1 Rb 0.000 0.000 0.000
Rb2 Rb 0.485 0.500 0.677
Mg1 Mg 0.447 0.500 0.253
Mg2 Mg 0.947 0.000 0.267
Nb1 Nb 0.462 0.000 0.432
Nb2 Nb 0.962 0.500 0.426
```

Crystal system: monoclinic
ΔE_f: 0.51 eV/atom

10.
Here is DyMg2Au after structural relaxation from the Alexandria database. Energies are from PBE-GGA.

CIF file:
```
data_DyMg2Au
_chemical_formula_sum 'Dy4 Mg8 Au4'
_space_group_name_H-M_alt 'F -4 3 m'
_space_group_IT_number 216
_space_group_name_Hall 'F -4 2 3'
_cell_length_a 7.027
_cell_length_b 7.027
_cell_length_c 7.027
_cell_angle_alpha 90.00
_cell_angle_beta 90.00
_cell_angle_gamma 90.00
loop_
_atom_site_label
_atom_site_type_symbol
_atom_site_fract_x
_atom_site_fract_y
_atom_site_fract_z
Dy1 Dy 0.000 0.000 0.000
Mg1 Mg 0.000 0.000 0.500
Mg2 Mg 0.250 0.250 0.750
Au1 Au 0.250 0.250 0.250
```

Crystal system: cubic
ΔE_f: -0.44 eV/atom

11.
Here is Ba2PuAs3Rh4 after structural relaxation from the Alexandria database. Energies are from PBE-GGA.

CIF file:
```
data_Ba2PuAs3Rh4
_chemical_formula_sum 'Ba2 Pu1 As3 Rh4'
_space_group_name_H-M_alt 'P -4 m 2'
_space_group_IT_number 115
_cell_length_a 4.349
_cell_length_b 4.349
_cell_length_c 11.224
_cell_angle_alpha 90.00
_cell_angle_beta 90.00
_cell_angle_gamma 90.00
loop_
_space_group_symop_operation_xyz
'x,y,z'
'y,-x,-z'
'-x,-y,z'
'-y,x,-z'
'-x,y,z'
'-y,-x,-z'
'x,-y,z'
'y,x,-z'
loop_
_atom_site_label
_atom_site_type_symbol
_atom_site_fract_x
_atom_site_fract_y
_atom_site_fract_z
Ba1 Ba 0.000 0.500 0.239
Pu1 Pu 0.000 0.000 0.500
As1 As 0.000 0.500 0.879
As2 As 0.500 0.500 0.500
Rh1 Rh 0.000 0.000 0.000
Rh2 Rh 0.000 0.500 0.648
Rh3 Rh 0.500 0.500 0.000
```

Crystal system: tetragonal
ΔE_f: -0.69 eV/atom

12.
Here is Tm3Cu4Sn4 after structural relaxation from the Alexandria database. Energies are from PBE-GGA.

CIF file:
```
data_Tm3Cu4Sn4
_chemical_formula_sum 'Tm6 Cu8 Sn8'
_space_group_name_H-M_alt 'I m m m'
_space_group_IT_number 71
_space_group_name_Hall '-I 2 2'
_cell_length_a 4.185
_cell_length_b 8.416
_cell_length_c 13.372
_cell_angle_alpha 90.00
_cell_angle_beta 90.00
_cell_angle_gamma 90.00
loop_
_atom_site_label
_atom_site_type_symbol
_atom_site_fract_x
_atom_site_fract_y
_atom_site_fract_z
Tm1 Tm 0.000 0.000 0.000
Tm2 Tm 0.000 0.000 0.352
Cu1 Cu 0.000 0.238 0.190
Sn1 Sn 0.000 0.339 0.000
Sn2 Sn 0.000 0.500 0.326
```

Crystal system: orthorhombic
ΔE_f: -0.34 eV/atom

One value per record, in order, for DOS(E_F): 1.48; 15.96; 44.27; 0.00; 7.90; 14.14; 8.88; 12.15; 4.76; 13.10; 10.93; 9.39 states/eV/cell.